Entry 1:
The following is a DFT calculation (PBE) of a relaxed MnCl crystal.

a b c (Å): 6.794 6.536 5.580
angles (deg): 67.68 62.86 49.45
Fractional positions:
Mn (0.011, 0.011, 0.739)
Mn (0.261, 0.261, 0.989)
Mn (0.739, 0.739, 0.011)
Mn (0.989, 0.989, 0.261)
Cl (0.149, 0.601, 0.601)
Cl (0.399, 0.851, 0.851)
Cl (0.601, 0.149, 0.149)
Cl (0.851, 0.399, 0.399)

Output
The value obtained for the uncorrected formation energy is -103 meV per atom. The total energy comes out at -11.22 eV per formula unit. Its theoretical density is 3.611 g/cm³.

=====

Entry 2:
The following is a DFT calculation (PBE) of a relaxed Mn2Cl crystal.

a b c (Å): 3.752 3.752 3.752
angles (deg): 60.00 60.00 60.00
Fractional positions:
Mn (0.250, 0.250, 0.250)
Mn (0.750, 0.750, 0.750)
Cl (0.000, 0.000, 0.000)

Output
The value obtained for the uncorrected formation energy is 1030 meV per atom. The total energy comes out at -17.10 eV per formula unit. Its theoretical density is 6.459 g/cm³.

=====

Entry 3:
The following is a DFT calculation (PBE) of a relaxed MnCl crystal.

a b c (Å): 7.463 7.463 3.397
angles (deg): 90.00 90.00 90.00
Fractional positions:
Mn (0.118, 0.118, 0.000)
Mn (0.382, 0.618, 0.500)
Mn (0.618, 0.382, 0.500)
Mn (0.882, 0.882, 0.000)
Cl (0.210, 0.790, 0.000)
Cl (0.290, 0.290, 0.500)
Cl (0.710, 0.710, 0.500)
Cl (0.790, 0.210, 0.000)

Output
The value obtained for the uncorrected formation energy is -153 meV per atom. The total energy comes out at -11.32 eV per formula unit. Its theoretical density is 3.173 g/cm³.

=====

Entry 4:
The following is a DFT calculation (PBE) of a relaxed Mn3Cl crystal.

a b c (Å): 4.873 4.873 2.933
angles (deg): 90.00 90.00 111.89
Fractional positions:
Mn (0.000, 0.000, 0.000)
Mn (0.000, 0.500, 0.500)
Mn (0.500, 0.000, 0.500)
Cl (0.500, 0.500, 0.000)

Output
The value obtained for the uncorrected formation energy is 577 meV per atom. The total energy comes out at -27.05 eV per formula unit. Its theoretical density is 5.144 g/cm³.

=====

Entry 5:
The following is a DFT calculation (PBE) of a relaxed MnCl crystal.

a b c (Å): 7.219 7.219 7.219
angles (deg): 92.81 92.81 154.44
Fractional positions:
Mn (0.195, 0.291, 0.486)
Mn (0.291, 0.805, 0.097)
Mn (0.709, 0.195, 0.903)
Mn (0.805, 0.709, 0.514)
Cl (0.248, 0.514, 0.762)
Cl (0.486, 0.248, 0.734)
Cl (0.514, 0.752, 0.266)
Cl (0.752, 0.486, 0.238)

Output
The value obtained for the uncorrected formation energy is 44 meV per atom. The total energy comes out at -10.93 eV per formula unit. Its theoretical density is 3.792 g/cm³.

=====

Entry 6:
The following is a DFT calculation (PBE) of a relaxed MnCl crystal.

a b c (Å): 3.699 3.699 3.699
angles (deg): 60.00 60.00 60.00
Fractional positions:
Mn (0.000, 0.000, 0.000)
Cl (0.500, 0.500, 0.500)

Output
The value obtained for the uncorrected formation energy is 53 meV per atom. The total energy comes out at -10.91 eV per formula unit. Its theoretical density is 4.195 g/cm³.

=====

Entry 7:
The following is a DFT calculation (PBE) of a relaxed Mn4Cl crystal.

a b c (Å): 4.739 4.739 4.739
angles (deg): 94.61 94.61 147.06
Fractional positions:
Mn (0.073, 0.710, 0.782)
Mn (0.290, 0.073, 0.363)
Mn (0.710, 0.927, 0.637)
Mn (0.927, 0.290, 0.218)
Cl (0.500, 0.500, 0.000)

Output
The value obtained for the uncorrected formation energy is 475 meV per atom. The total energy comes out at -36.15 eV per formula unit. Its theoretical density is 7.636 g/cm³.

=====

Entry 8:
The following is a DFT calculation (PBE) of a relaxed MnCl crystal.

a b c (Å): 9.984 9.984 3.319
angles (deg): 90.00 90.00 90.00
Fractional positions:
Mn (0.079, 0.599, 0.000)
Mn (0.121, 0.385, 0.500)
Mn (0.385, 0.879, 0.500)
Mn (0.401, 0.079, 0.000)
Mn (0.599, 0.921, 0.000)
Mn (0.615, 0.121, 0.500)
Mn (0.879, 0.615, 0.500)
Mn (0.921, 0.401, 0.000)
Cl (0.152, 0.772, 0.500)
Cl (0.228, 0.152, 0.500)
Cl (0.279, 0.470, 0.000)
Cl (0.470, 0.721, 0.000)
Cl (0.530, 0.279, 0.000)
Cl (0.721, 0.530, 0.000)
Cl (0.772, 0.848, 0.500)
Cl (0.848, 0.228, 0.500)

Output
The value obtained for the uncorrected formation energy is -507 meV per atom. The total energy comes out at -12.03 eV per formula unit. Its theoretical density is 3.630 g/cm³.

=====

Entry 9:
The following is a DFT calculation (PBE) of a relaxed MnCl3 crystal.

a b c (Å): 4.820 4.820 4.820
angles (deg): 60.00 60.00 60.00
Fractional positions:
Mn (0.000, 0.000, 0.000)
Cl (0.250, 0.250, 0.250)
Cl (0.500, 0.500, 0.500)
Cl (0.750, 0.750, 0.750)

Output
The value obtained for the uncorrected formation energy is -21 meV per atom. The total energy comes out at -14.79 eV per formula unit. Its theoretical density is 3.383 g/cm³.

=====

Entry 10:
The following is a DFT calculation (PBE) of a relaxed Mn2Cl crystal.

a b c (Å): 4.919 4.919 8.110
angles (deg): 100.03 100.03 35.60
Fractional positions:
Mn (0.049, 0.049, 0.374)
Mn (0.332, 0.332, 0.393)
Mn (0.668, 0.668, 0.607)
Mn (0.951, 0.951, 0.626)
Cl (0.339, 0.339, 0.814)
Cl (0.661, 0.661, 0.186)

Output
The value obtained for the uncorrected formation energy is -16 meV per atom. The total energy comes out at -20.23 eV per formula unit. Its theoretical density is 4.297 g/cm³.

=====

Entry 11:
The following is a DFT calculation (PBE) of a relaxed MnCl crystal.

a b c (Å): 3.559 3.559 3.559
angles (deg): 60.00 60.00 60.00
Fractional positions:
Mn (0.000, 0.000, 0.000)
Cl (0.250, 0.250, 0.250)

Output
The value obtained for the uncorrected formation energy is 518 meV per atom. The total energy comes out at -9.98 eV per formula unit. Its theoretical density is 4.710 g/cm³.

=====

Entry 12:
The following is a DFT calculation (PBE) of a relaxed MnCl3 crystal.

a b c (Å): 9.848 9.848 9.848
angles (deg): 21.05 21.05 21.05
Fractional positions:
Mn (0.000, 0.000, 0.000)
Cl (0.285, 0.285, 0.285)
Cl (0.500, 0.500, 0.500)
Cl (0.715, 0.715, 0.715)

Output
The value obtained for the uncorrected formation energy is -555 meV per atom. The total energy comes out at -16.93 eV per formula unit. Its theoretical density is 2.483 g/cm³.

=====

Entry 13:
The following is a DFT calculation (PBE) of a relaxed Mn2Cl crystal.

a b c (Å): 3.801 3.801 4.413
angles (deg): 90.00 90.00 90.00
Fractional positions:
Mn (0.000, 0.500, 0.000)
Mn (0.500, 0.000, 0.000)
Cl (0.000, 0.000, 0.500)

Output
The value obtained for the uncorrected formation energy is 587 meV per atom. The total energy comes out at -18.42 eV per formula unit. Its theoretical density is 3.786 g/cm³.

=====

Entry 14:
The following is a DFT calculation (PBE) of a relaxed MnCl crystal.

a b c (Å): 5.556 5.556 7.410
angles (deg): 90.00 90.00 120.00
Fractional positions:
Mn (0.333, 0.667, 0.078)
Mn (0.333, 0.667, 0.422)
Mn (0.667, 0.333, 0.578)
Mn (0.667, 0.333, 0.922)
Cl (0.000, 0.000, 0.250)
Cl (0.000, 0.000, 0.750)
Cl (0.333, 0.667, 0.750)
Cl (0.667, 0.333, 0.250)

Output
The value obtained for the uncorrected formation energy is 438 meV per atom. The total energy comes out at -10.14 eV per formula unit. Its theoretical density is 3.030 g/cm³.

=====

Entry 15:
The following is a DFT calculation (PBE) of a relaxed Mn3Cl crystal.

a b c (Å): 3.071 3.071 7.528
angles (deg): 90.00 90.00 120.00
Fractional positions:
Mn (0.000, 0.000, 0.000)
Mn (0.667, 0.333, 0.237)
Mn (0.667, 0.333, 0.763)
Cl (0.000, 0.000, 0.500)

Output
The value obtained for the uncorrected formation energy is 187 meV per atom. The total energy comes out at -28.61 eV per formula unit. Its theoretical density is 5.407 g/cm³.

=====

Entry 16:
The following is a DFT calculation (PBE) of a relaxed MnCl3 crystal.

a b c (Å): 6.935 6.935 3.474
angles (deg): 90.00 90.00 139.75
Fractional positions:
Mn (0.000, 0.000, 0.000)
Cl (0.125, 0.875, 0.500)
Cl (0.500, 0.500, 0.000)
Cl (0.875, 0.125, 0.500)

Output
The value obtained for the uncorrected formation energy is -894 meV per atom. The total energy comes out at -18.28 eV per formula unit. Its theoretical density is 2.482 g/cm³.

=====

Entry 17:
The following is a DFT calculation (PBE) of a relaxed MnCl3 crystal.

a b c (Å): 3.462 3.462 10.210
angles (deg): 90.00 90.00 120.00
Fractional positions:
Mn (0.000, 0.000, 0.000)
Cl (0.000, 0.000, 0.500)
Cl (0.333, 0.667, 0.153)
Cl (0.333, 0.667, 0.847)

Output
The value obtained for the uncorrected formation energy is -460 meV per atom. The total energy comes out at -16.55 eV per formula unit. Its theoretical density is 2.527 g/cm³.

=====

Entry 18:
The following is a DFT calculation (PBE) of a relaxed Mn2Cl crystal.

a b c (Å): 6.731 6.731 6.279
angles (deg): 90.00 90.00 120.00
Fractional positions:
Mn (0.000, 0.000, 0.000)
Mn (0.000, 0.000, 0.500)
Mn (0.159, 0.319, 0.250)
Mn (0.159, 0.841, 0.250)
Mn (0.319, 0.159, 0.750)
Mn (0.681, 0.841, 0.250)
Mn (0.841, 0.159, 0.750)
Mn (0.841, 0.681, 0.750)
Cl (0.333, 0.667, 0.007)
Cl (0.333, 0.667, 0.493)
Cl (0.667, 0.333, 0.507)
Cl (0.667, 0.333, 0.993)

Output
The value obtained for the uncorrected formation energy is 223 meV per atom. The total energy comes out at -19.52 eV per formula unit. Its theoretical density is 3.918 g/cm³.

=====

Entry 19:
The following is a DFT calculation (PBE) of a relaxed Mn2Cl crystal.

a b c (Å): 9.349 3.154 8.051
angles (deg): 90.00 90.00 90.00
Fractional positions:
Mn (0.067, 0.250, 0.240)
Mn (0.088, 0.250, 0.916)
Mn (0.412, 0.750, 0.416)
Mn (0.433, 0.750, 0.740)
Mn (0.567, 0.250, 0.260)
Mn (0.588, 0.250, 0.584)
Mn (0.912, 0.750, 0.084)
Mn (0.933, 0.750, 0.760)
Cl (0.161, 0.750, 0.452)
Cl (0.339, 0.250, 0.952)
Cl (0.661, 0.750, 0.048)
Cl (0.839, 0.250, 0.548)

Output
The value obtained for the uncorrected formation energy is 134 meV per atom. The total energy comes out at -19.78 eV per formula unit. Its theoretical density is 4.067 g/cm³.

=====

Entry 20:
The following is a DFT calculation (PBE) of a relaxed Mn2Cl crystal.

a b c (Å): 10.589 10.589 10.589
angles (deg): 164.29 164.29 22.28
Fractional positions:
Mn (0.284, 0.534, 0.750)
Mn (0.466, 0.716, 0.750)
Mn (0.534, 0.284, 0.250)
Mn (0.716, 0.466, 0.250)
Cl (0.125, 0.875, 0.250)
Cl (0.875, 0.125, 0.750)

Output
The value obtained for the uncorrected formation energy is 669 meV per atom. The total energy comes out at -18.18 eV per formula unit. Its theoretical density is 5.548 g/cm³.

=====

Entry 21:
The following is a DFT calculation (PBE) of a relaxed MnCl crystal.

a b c (Å): 6.597 6.597 6.407
angles (deg): 115.68 115.68 29.04
Fractional positions:
Mn (0.000, 0.000, 0.000)
Mn (0.501, 0.501, 0.618)
Mn (0.805, 0.805, 0.561)
Cl (0.165, 0.165, 0.630)
Cl (0.417, 0.417, 0.183)
Cl (0.668, 0.668, 0.131)

Output
The value obtained for the uncorrected formation energy is -340 meV per atom. The total energy comes out at -11.70 eV per formula unit. Its theoretical density is 3.721 g/cm³.

=====

Entry 22:
The following is a DFT calculation (PBE) of a relaxed MnCl3 crystal.

a b c (Å): 10.258 10.258 10.258
angles (deg): 19.98 19.98 19.98
Fractional positions:
Mn (0.000, 0.000, 0.000)
Cl (0.381, 0.381, 0.381)
Cl (0.500, 0.500, 0.500)
Cl (0.619, 0.619, 0.619)

Output
The value obtained for the uncorrected formation energy is -526 meV per atom. The total energy comes out at -16.81 eV per formula unit. Its theoretical density is 2.430 g/cm³.

=====

Entry 23:
The following is a DFT calculation (PBE) of a relaxed MnCl3 crystal.

a b c (Å): 4.002 4.002 6.590
angles (deg): 90.00 90.00 90.00
Fractional positions:
Mn (0.000, 0.000, 0.000)
Cl (0.000, 0.500, 0.776)
Cl (0.500, 0.000, 0.776)
Cl (0.500, 0.500, 0.196)

Output
The value obtained for the uncorrected formation energy is -334 meV per atom. The total energy comes out at -16.05 eV per formula unit. Its theoretical density is 2.537 g/cm³.

=====

Entry 24:
The following is a DFT calculation (PBE) of a relaxed Mn7Cl crystal.

a b c (Å): 5.423 5.423 5.423
angles (deg): 60.00 60.00 60.00
Fractional positions:
Mn (0.000, 0.000, 0.000)
Mn (0.000, 0.000, 0.500)
Mn (0.000, 0.500, 0.000)
Mn (0.000, 0.500, 0.500)
Mn (0.500, 0.000, 0.000)
Mn (0.500, 0.000, 0.500)
Mn (0.500, 0.500, 0.000)
Cl (0.500, 0.500, 0.500)

Output
The value obtained for the uncorrected formation energy is 485 meV per atom. The total energy comes out at -62.15 eV per formula unit. Its theoretical density is 6.186 g/cm³.

=====

Entry 25:
The following is a DFT calculation (PBE) of a relaxed MnCl3 crystal.

a b c (Å): 6.413 6.413 6.413
angles (deg): 118.73 118.73 92.21
Fractional positions:
Mn (0.000, 0.000, 0.000)
Mn (0.750, 0.250, 0.500)
Cl (0.000, 0.625, 0.875)
Cl (0.250, 0.750, 0.500)
Cl (0.375, 0.250, 0.375)
Cl (0.500, 0.500, 0.000)
Cl (0.750, 0.125, 0.125)
Cl (0.875, 0.000, 0.625)

Output
The value obtained for the uncorrected formation energy is -84 meV per atom. The total energy comes out at -15.04 eV per formula unit. Its theoretical density is 2.820 g/cm³.